No. 1
First-principles (PBE) data for a geometry-optimized Ga4IrAu structure, as listed in Alexandria via LeMat-Bulk.

Output
Calculated formation energy in eV/atom: -0.221
SG: C2/c (15)

Cell lengths 5.715, 7.311, 6.846 Å; angles 118.68, 110.39, 97.43 degrees
Fractional positions:
Ga (0.336, 0.634, 0.816)
Au (0.648, 0.398, 0.796)
Au (0.352, 0.602, 0.204)
Ga (0.643, 0.050, 0.363)
Ga (0.357, 0.950, 0.637)
Ir (0.759, 0.009, 0.019)
Ga (0.019, 0.817, 0.184)
Ir (0.241, 0.991, 0.981)
Ga (0.981, 0.183, 0.816)
Ga (0.664, 0.366, 0.184)
Ga (0.220, 0.313, 0.363)
Ga (0.780, 0.687, 0.637)

No. 2
First-principles (PBE) data for a geometry-optimized GaIrAu3 structure, as listed in Alexandria via LeMat-Bulk.

Output
Energy above the lowest structure with this stoichiometry in eV per formula unit: 0.00
Calculated formation energy in eV/atom: 0.846
SG: Pm-3m (221)

Cell lengths 5.082, 5.082, 5.082 Å; angles 90.00, 90.00, 90.00 degrees
Fractional positions:
Au (0.000, 0.500, 0.000)
Ga (0.500, 0.500, 0.500)
Au (0.000, 0.000, 0.500)
Au (0.500, 0.000, 0.000)
Ir (0.000, 0.000, 0.000)

No. 3
First-principles (PBE) data for a geometry-optimized Ga2IrAu2 structure, as listed in Alexandria via LeMat-Bulk.

Output
Calculated formation energy in eV/atom: 0.031
SG: P4/mbm (127)

Cell lengths 6.812, 6.812, 3.627 Å; angles 90.00, 90.00, 90.00 degrees
Fractional positions:
Au (0.150, 0.650, 0.500)
Ga (0.152, 0.348, 0.000)
Ga (0.848, 0.652, 0.000)
Ir (0.500, 0.500, 0.000)
Au (0.350, 0.150, 0.500)
Au (0.850, 0.350, 0.500)
Au (0.650, 0.850, 0.500)
Ir (0.000, 0.000, 0.000)
Ga (0.348, 0.848, 0.000)
Ga (0.652, 0.152, 0.000)

| no. | electronic total energy (eV for the cell shown) |
| --- | --- |
| 1 | -51.1 |
| 2 | -17.5 |
| 3 | -42.6 |